Record 1
A plane-wave DFT calculation with GGA-PBE was carried out for an optimized crystal structure of TaIn2Sb.

Unit cell a=6.272 b=9.236 c=3.101 alpha=90.00 beta=90.00 gamma=90.00
Element x y z (fractional)
Ta 0.000 0.000 0.000
Ta 0.500 0.500 0.000
In 0.250 0.250 0.500
In 0.250 0.750 0.500
In 0.750 0.250 0.500
In 0.750 0.750 0.500
Sb 0.000 0.500 0.000
Sb 0.500 0.000 0.000

Results
As for the crystal system: orthorhombic. The calculation puts the formation energy (no corrections) at 382 meV per atom. The total magnetization comes out at 0.00 Bohr magnetons per cell.

***

Record 2
A plane-wave DFT calculation with GGA-PBE was carried out for an optimized crystal structure of TbTaO4F.

Unit cell a=6.070 b=6.070 c=6.863 alpha=99.65 beta=99.65 gamma=73.84
Element x y z (fractional)
Tb 0.194 0.194 0.079
Tb 0.806 0.806 0.921
Ta 0.370 0.370 0.709
Ta 0.630 0.630 0.291
O 0.116 0.495 0.845
O 0.296 0.296 0.432
O 0.433 0.433 0.240
O 0.495 0.116 0.845
O 0.505 0.884 0.155
O 0.567 0.567 0.760
O 0.704 0.704 0.568
O 0.884 0.505 0.155
F 0.011 0.011 0.816
F 0.989 0.989 0.184

Results
As for the crystal system: monoclinic. The calculation puts the formation energy (no corrections) at -2862 meV per atom. The total magnetization comes out at 0.00 Bohr magnetons per cell.